## NiSbTeO6 (GGA+U)

Data for a relaxed NiSbTeO6 crystal.

Cell: 5.3175 5.3175 9.0483 Å, 90.00 90.00 120.00°
Sites, in units of the cell vectors:
O1 0.6503 0.6564 0.1300
O2 0.9939 0.3436 0.6300
O3 0.3497 0.3436 0.8700
O4 0.6503 0.9939 0.3700
O5 0.3436 0.9939 0.1300
O6 0.6564 0.6503 0.6300
O7 0.3436 0.3497 0.3700
O8 0.3497 0.0061 0.6300
O9 0.0061 0.3497 0.1300
O10 0.9939 0.6503 0.8700
O11 0.0061 0.6564 0.3700
O12 0.6564 0.0061 0.8700
Ni1 0.0000 0.0000 0.0000
Ni2 0.0000 0.0000 0.5000
Sb1 0.6667 0.3333 0.7500
Sb2 0.3333 0.6667 0.2500
Te1 0.6667 0.3333 0.2500
Te2 0.3333 0.6667 0.7500

Properties
The density of states at the Fermi level is 3.2 states/eV/f.u. Its total energy is -5.432 eV per atom. The size of the total moment is 2.655 μB per cell.